{
  "formula": "Be2Cu4Au5",
  "functional": "PBE",
  "state": "relaxed",
  "cell": [[2.896, 0.000, 0.000], [0.000, 6.947, 0.000], [0.000, 0.000, 15.402]],
  "species": ["Be", "Be", "Be", "Be", "Cu", "Cu", "Cu", "Cu", "Cu", "Cu", "Cu", "Cu", "Au", "Au", "Au", "Au", "Au", "Au", "Au", "Au", "Au", "Au"],
  "frac_coords": [[0.500, 0.483, 0.306], [0.500, 0.517, 0.694], [0.500, 0.983, 0.194], [0.500, 0.017, 0.806], [0.500, 0.287, 0.572], [0.500, 0.713, 0.428], [0.500, 0.787, 0.928], [0.500, 0.213, 0.072], [0.500, 0.425, 0.849], [0.500, 0.575, 0.151], [0.500, 0.925, 0.651], [0.500, 0.075, 0.349], [0.000, 0.500, 0.000], [0.000, 0.000, 0.500], [0.000, 0.271, 0.219], [0.000, 0.729, 0.781], [0.000, 0.771, 0.281], [0.000, 0.229, 0.719], [0.000, 0.377, 0.421], [0.000, 0.623, 0.579], [0.000, 0.877, 0.079], [0.000, 0.123, 0.921]],
  "total_energy_ev_per_atom": -3.7478,
  "formation_energy_ev_per_atom": -0.091,
  "crystal_system": "orthorhombic",
  "n_ef_per_ev_atom": 0.24
}